(1)
The following is a PBEsol calculation of an optimized crystal structure of Li2CdPb, from Alexandria.

Cell: 10.2223 3.3636 4.8788 Å, 90.00 105.89 90.00°
Last column: nearest neighbours and their distance in Å.
Space group Cm (No. 8)
Asymmetric unit:
Li  0.0000  0.0000  0.0000  4 Cd 2.89-3.04, 3 Pb 2.96-2.99, 2 Li 3.09
Li  0.2484  0.0000  0.6955  3 Cd 2.88-3.03, 4 Pb 2.96-2.97, 2 Li 3.09
Cd  0.0119  0.5000  0.5248  7 Li 2.88-3.04, 2 Pb 3.19
Pb  0.2504  0.5000  0.1949  7 Li 2.96-2.99, 3 Cd 3.19-3.27

The calculation puts the distance to the lowest polymorph of the same formula at 56 meV per atom. For the volume, the calculation gives 161.3 Å³/cell. Its density of states at the Fermi level is 2.31 states/eV per cell.

(2)
The following is a PBEsol calculation of an optimized crystal structure of PIr2Os, from Alexandria.

Cell: 3.7762 2.7977 10.3173 Å, 90.00 90.00 90.00°
Last column: nearest neighbours and their distance in Å.
Space group Amm2 (No. 38)
Asymmetric unit:
P  0.0000  0.0000  0.0000  3 Ir 2.32-2.39, 4 Os 2.52
Ir  0.0000  0.0000  0.7752  1 P 2.32
Ir  0.5000  0.0000  0.1414  2 P 2.39
Os  0.5000  0.0000  0.4118  4 P 2.52, 7 Ir 2.74-2.79, 2 Os 2.80

For the volume, the calculation gives 109.0 Å³/cell. Its density of states at the Fermi level is 6.32 states/eV per cell. The value obtained for the raw total energy is -37.59 eV per formula unit.

(3)
The following is a PBEsol calculation of an optimized crystal structure of LiMgCd2, from Alexandria.

Cell: 3.5187 3.5187 6.2464 Å, 90.00 90.00 90.00°
Last column: nearest neighbours and their distance in Å.
Space group P4mm (No. 99)
Asymmetric unit:
Li  0.0000  0.0000  0.0000  5 Cd 2.83-3.04, 4 Mg 2.97
Mg  0.5000  0.5000  0.2592  6 Cd 2.95-3.28, 4 Li 2.97
Cd  0.0000  0.0000  0.5135  4 Mg 2.95, 4 Cd 3.01, 2 Li 3.04-3.21
Cd  0.5000  0.5000  0.7841  4 Li 2.83, 1 Mg 2.97, 4 Cd 3.01

For the volume, the calculation gives 77.3 Å³/cell. Its density of states at the Fermi level is 1.22 states/eV per cell. The value obtained for the raw total energy is -6.71 eV per formula unit.

(4)
The following is a PBEsol calculation of an optimized crystal structure of TlCuCl3, from Alexandria.

Cell: 4.7433 4.7433 4.7433 Å, 90.00 90.00 90.00°
Last column: nearest neighbours and their distance in Å.
Space group Pm-3m (No. 221)
Asymmetric unit:
Tl  0.0000  0.0000  0.0000  12 Cl 3.35
Cu  0.5000  0.5000  0.5000  6 Cl 2.37
Cl  0.0000  0.5000  0.5000  2 Cu 2.37

For the volume, the calculation gives 106.7 Å³/cell. Its density of states at the Fermi level is 1.38 states/eV per cell. For the uncorrected formation energy, the calculation gives -690 meV per atom.

(5)
The following is a PBEsol calculation of an optimized crystal structure of CdRuW, from Alexandria.

Cell: 2.9803 4.5766 14.1664 Å, 90.00 90.00 90.00°
Last column: nearest neighbours and their distance in Å.
Space group Fmm2 (No. 42)
Asymmetric unit:
Cd  0.0000  0.0000  0.0000  6 Cd 2.73-2.98, 2 Ru 2.86, 2 W 2.96
Ru  0.0000  0.0000  0.6725  2 W 2.56, 4 Ru 2.73, 2 Cd 2.86
W  0.0000  0.0000  0.3198  2 Ru 2.56, 4 W 2.73

For the volume, the calculation gives 193.2 Å³/cell. Its density of states at the Fermi level is 11.48 states/eV per cell. The value obtained for the raw total energy is -23.96 eV per formula unit.

(6)
The following is a PBEsol calculation of an optimized crystal structure of KSrPd3, from Alexandria.

Cell: 5.2765 5.2765 5.2765 Å, 90.00 90.00 90.00°
Last column: nearest neighbours and their distance in Å.
Space group Pm-3m (No. 221)
Asymmetric unit:
K  0.0000  0.0000  0.0000  12 Pd 3.73
Sr  0.5000  0.5000  0.5000  6 Pd 2.64
Pd  0.0000  0.5000  0.5000  2 Sr 2.64

For the volume, the calculation gives 146.9 Å³/cell. Its density of states at the Fermi level is 2.07 states/eV per cell. The value obtained for the raw total energy is -17.36 eV per formula unit.

(7)
The following is a PBEsol calculation of an optimized crystal structure of HfSi2Ir2, from Alexandria.

Cell: 7.2117 7.2117 2.7629 Å, 90.00 90.00 90.00°
Last column: nearest neighbours and their distance in Å.
Space group P4/mbm (No. 127)
Asymmetric unit:
Hf  0.0000  0.0000  0.0000  4 Si 2.75, 2 Hf 2.76, 8 Ir 3.08
Si  0.1478  0.3522  0.0000  6 Ir 2.50-2.54, 2 Hf 2.75, 2 Si 2.76
Ir  0.1473  0.6473  0.5000  6 Si 2.50-2.54, 2 Ir 2.76

For the volume, the calculation gives 143.7 Å³/cell. Its density of states at the Fermi level is 5.33 states/eV per cell. For the uncorrected formation energy, the calculation gives -664 meV per atom.

(8)
The following is a PBEsol calculation of an optimized crystal structure of CaC2O4, from Alexandria.

Cell: 6.1902 7.3594 9.5512 Å, 90.00 90.16 90.00°
Last column: nearest neighbours and their distance in Å.
Space group P2/m (No. 10)
Asymmetric unit:
Ca  0.0904  0.0000  0.3205  7 O 2.32-2.44
Ca  0.0920  0.5000  0.1798  7 O 2.32-2.44
C  0.0000  0.1056  0.0000  2 O 1.26
C  0.0000  0.3945  0.5000  2 O 1.26
C  0.4332  0.5000  0.9308  2 O 1.25-1.27
C  0.4340  0.0000  0.5693  2 O 1.25-1.27
O  0.0500  0.1822  0.1139  1 C 1.26
O  0.0502  0.3179  0.3863  1 C 1.26
O  0.2293  0.5000  0.9463  1 C 1.27
O  0.2298  0.0000  0.5539  1 C 1.27
O  0.4649  0.0000  0.3170  1 C 1.25
O  0.4668  0.5000  0.1831  1 C 1.25

For the volume, the calculation gives 435.1 Å³/cell. Its density of states at the Fermi level is 0.00 states/eV per cell. For the uncorrected formation energy, the calculation gives -1854 meV per atom.

(9)
The following is a PBEsol calculation of an optimized crystal structure of CrNi2Ru, from Alexandria.

Cell: 3.4982 3.4982 7.4066 Å, 90.00 90.00 90.00°
Last column: nearest neighbours and their distance in Å.
Space group I4/mmm (No. 139)
Asymmetric unit:
Cr  0.0000  0.0000  0.0000  4 Ru 2.47, 8 Ni 2.55
Ni  0.0000  0.5000  0.2500  4 Ni 2.47, 4 Cr 2.55, 4 Ru 2.55
Ru  0.0000  0.0000  0.5000  4 Cr 2.47, 8 Ni 2.55

For the volume, the calculation gives 90.6 Å³/cell. Its density of states at the Fermi level is 12.04 states/eV per cell. The value obtained for the raw total energy is -32.50 eV per formula unit.

(10)
The following is a PBEsol calculation of an optimized crystal structure of MgSbAs2, from Alexandria.

Cell: 3.9793 4.5835 9.0877 Å, 90.00 90.00 90.00°
Last column: nearest neighbours and their distance in Å.
Space group Cmmm (No. 65)
Asymmetric unit:
Mg  0.0000  0.0000  0.0000  8 As 2.79-3.01, 4 Mg 3.03
Sb  0.0000  0.0000  0.5000  4 Sb 3.03, 4 As 3.26
As  0.0000  0.5000  0.2153  4 Mg 2.79-3.01, 4 As 3.03

The calculation puts the distance to the lowest polymorph of the same formula at 234 meV per atom. For the volume, the calculation gives 165.8 Å³/cell. Its density of states at the Fermi level is 4.39 states/eV per cell. For the uncorrected formation energy, the calculation gives 65 meV per atom.

(11)
The following is a PBEsol calculation of an optimized crystal structure of MgCr2BI, from Alexandria.

Cell: 4.9557 4.9557 5.3902 Å, 90.00 90.00 90.00°
Last column: nearest neighbours and their distance in Å.
Space group P4/mmm (No. 123)
Asymmetric unit:
Mg  0.0000  0.0000  0.0000  2 I 2.70
Cr  0.0000  0.5000  0.5000  2 I 2.48
B  0.5000  0.5000  0.0000  4 Mg 3.50, 8 Cr 3.66
I  0.0000  0.0000  0.5000  4 Cr 2.48, 2 Mg 2.70

For the volume, the calculation gives 132.4 Å³/cell. Its density of states at the Fermi level is 3.06 states/eV per cell. For the uncorrected formation energy, the calculation gives 2181 meV per atom.

(12)
The following is a PBEsol calculation of an optimized crystal structure of TePt4Au, from Alexandria.

Cell: 7.4694 7.4694 7.4694 Å, 90.00 90.00 90.00°
Last column: nearest neighbours and their distance in Å.
Space group F-43m (No. 216)
Asymmetric unit:
Te  0.0000  0.0000  0.0000  12 Pt 3.10, 4 Au 3.23
Pt  0.1249  0.1249  0.6249  6 Pt 2.64
Au  0.2500  0.2500  0.2500  12 Pt 3.10, 4 Te 3.23

For the volume, the calculation gives 416.7 Å³/cell. Its density of states at the Fermi level is 26.86 states/eV per cell. For the uncorrected formation energy, the calculation gives 213 meV per atom.